(1)
# Ca6Ga2O | Alexandria | PBE-GGA | optimized geometry
# magnetization: 0.082 μB/atom
# calculated total energy: -3.400 eV per atom
# formation energy from raw total energies: -0.8418 eV/atom
# N(E_F): 16.2 states/eV per cell
data_Ca6Ga2O
_chemical_formula_sum 'Ca12 Ga4 O2'
_space_group_name_H-M_alt 'P 1 21/c 1'
_space_group_IT_number 14
_space_group_name_Hall '-P 2ybc'
_cell_length_a 6.826
_cell_length_b 7.252
_cell_length_c 11.936
_cell_angle_alpha 90.00
_cell_angle_beta 123.92
_cell_angle_gamma 90.00
loop_
_atom_site_label
_atom_site_type_symbol
_atom_site_fract_x
_atom_site_fract_y
_atom_site_fract_z
_atom_site_occupancy
Ca1 Ca 0.153 0.017 0.239 1
Ca2 Ca 0.224 0.710 0.042 1
Ca3 Ca 0.336 0.185 0.044 1
Ga1 Ga 0.276 0.072 0.750 1
O1 O 0.000 0.000 0.000 1



(2)
# Pm8NiAg2 | Alexandria | PBE-GGA | optimized geometry
# magnetization: 0.000 μB/atom
# calculated total energy: -4.585 eV per atom
# N(E_F): 22.1 states/eV per cell
# ΔE_f: -8 kJ per mole of atoms
data_Pm8NiAg2
_chemical_formula_sum 'Pm16 Ni2 Ag4'
_space_group_name_H-M_alt 'C 1 m 1'
_space_group_IT_number 8
_space_group_name_Hall 'C -2y'
_cell_length_a 7.552
_cell_length_b 16.400
_cell_length_c 6.227
_cell_angle_alpha 90.00
_cell_angle_beta 121.78
_cell_angle_gamma 90.00
loop_
_atom_site_label
_atom_site_type_symbol
_atom_site_fract_x
_atom_site_fract_y
_atom_site_fract_z
_atom_site_occupancy
Pm1 Pm 0.000 0.000 0.000 1
Pm2 Pm 0.009 0.112 0.502 1
Pm3 Pm 0.037 0.500 0.382 1
Pm4 Pm 0.055 0.386 0.868 1
Pm5 Pm 0.276 0.197 0.172 1
Ni1 Ni 0.280 0.000 0.866 1
Ag1 Ag 0.275 0.279 0.671 1



(3)
# Pu5Ge4 | Alexandria | PBE-GGA | optimized geometry
# magnetization: 0.518 μB/atom
# calculated total energy: -10.395 eV per atom
# N(E_F): 81.4 states/eV per cell
# ΔE_f: -37 kJ per mole of atoms
data_Pu5Ge4
_chemical_formula_sum 'Pu10 Ge8'
_space_group_name_H-M_alt 'P 63/m c m'
_space_group_IT_number 193
_space_group_name_Hall '-P 6c 2'
_cell_length_a 8.8347
_cell_length_b 8.8347
_cell_length_c 5.9412
_cell_angle_alpha 90.00
_cell_angle_beta 90.00
_cell_angle_gamma 120.00
loop_
_atom_site_label
_atom_site_type_symbol
_atom_site_fract_x
_atom_site_fract_y
_atom_site_fract_z
_atom_site_occupancy
Pu1 Pu 0.0000 0.2897 0.2500 1
Pu2 Pu 0.3333 0.6667 0.0000 1
Ge1 Ge 0.0000 0.0000 0.0000 1
Ge2 Ge 0.0000 0.3693 0.7500 1



(4)
# Nd3ScH | Alexandria | PBE-GGA | optimized geometry
# magnetization: 0.000 μB/atom
# calculated total energy: -4.933 eV per atom
# N(E_F): 5.5 states/eV per cell
data_Nd3ScH
_chemical_formula_sum 'Nd3 Sc1 H1'
_space_group_name_H-M_alt 'P m -3 m'
_space_group_IT_number 221
_space_group_name_Hall '-P 4 2 3'
_cell_length_a 5.063
_cell_length_b 5.063
_cell_length_c 5.063
_cell_angle_alpha 90.00
_cell_angle_beta 90.00
_cell_angle_gamma 90.00
loop_
_atom_site_label
_atom_site_type_symbol
_atom_site_fract_x
_atom_site_fract_y
_atom_site_fract_z
_atom_site_occupancy
Nd1 Nd 0.000 0.000 0.500 1
Sc1 Sc 0.500 0.500 0.500 1
H1 H 0.000 0.000 0.000 1



Which value of N(E_F) does entry 1 give? 16.2 states/eV per cell



Which formula does entry 3 have? Pu5Ge4



Among the records above, which one has the highest calculated total energy? Ca6Ga2O